(1)
Computed, not measured: crystalline BaHg at its relaxed geometry at the GGA-PBE level of DFT.

Cell lengths 4.160, 4.160, 4.160 Å; angles 90.00, 90.00, 90.00 degrees
Fractional coordinates of all 2 atoms:
1 Ba 0.000 0.000 0.000
2 Hg 0.500 0.500 0.500

Values from the calculation:
- crystal system = cubic
- E (eV per atom) = -1.63

---

(2)
Computed, not measured: crystalline BaHg2 at its relaxed geometry at the GGA-PBE level of DFT.

Cell lengths 6.409, 6.409, 10.141 Å; angles 90.00, 90.00, 120.00 degrees
Fractional coordinates of all 12 atoms:
1 Ba 0.333 0.667 0.058
2 Ba 0.333 0.667 0.442
3 Ba 0.667 0.333 0.558
4 Ba 0.667 0.333 0.942
5 Hg 0.000 0.000 0.000
6 Hg 0.337 0.169 0.250
7 Hg 0.831 0.169 0.250
8 Hg 0.831 0.663 0.250
9 Hg 0.000 0.000 0.500
10 Hg 0.169 0.337 0.750
11 Hg 0.169 0.831 0.750
12 Hg 0.663 0.831 0.750

Values from the calculation:
- crystal system = hexagonal
- E (eV per atom) = -1.23

---

(3)
Computed, not measured: crystalline Ba2Hg at its relaxed geometry at the GGA-PBE level of DFT.

Cell lengths 4.228, 4.228, 8.163 Å; angles 105.01, 105.01, 90.00 degrees
Fractional coordinates of all 3 atoms:
1 Ba 0.630 0.630 0.260
2 Ba 0.370 0.370 0.740
3 Hg 0.000 0.000 0.000

Values from the calculation:
- crystal system = tetragonal
- E (eV per atom) = -1.76

---

(4)
Computed, not measured: crystalline BaHoHg at its relaxed geometry at the GGA-PBE level of DFT.

Cell lengths 5.429, 5.429, 5.429 Å; angles 60.00, 60.00, 60.00 degrees
Fractional coordinates of all 3 atoms:
1 Ba 0.000 0.000 0.000
2 Hg 0.250 0.250 0.250
3 Ho 0.750 0.750 0.750

Values from the calculation:
- E above lowest polymorph (eV per atom) = 0.277
- crystal system = cubic
- E (eV per atom) = -1.76
- magnetization (μB/f.u.) = 0.0

---

(5)
Computed, not measured: crystalline BaHoHg6 at its relaxed geometry at the GGA-PBE level of DFT.

Cell lengths 6.835, 6.835, 5.168 Å; angles 90.00, 90.00, 120.00 degrees
Fractional coordinates of all 8 atoms:
1 Ba 0.000 0.000 0.000
2 Hg 0.008 0.504 0.000
3 Hg 0.496 0.504 0.000
4 Hg 0.496 0.992 0.000
5 Hg 0.358 0.179 0.500
6 Hg 0.821 0.179 0.500
7 Hg 0.821 0.642 0.500
8 Ho 0.333 0.667 0.500

Values from the calculation:
- crystal system = hexagonal
- E (eV per atom) = -1.36
- magnetization (μB/f.u.) = 0.0

---

(6)
Computed, not measured: crystalline BaHoHg at its relaxed geometry at the GGA-PBE level of DFT.

Cell lengths 5.290, 5.290, 5.290 Å; angles 60.00, 60.00, 60.00 degrees
Fractional coordinates of all 3 atoms:
1 Ba 0.500 0.500 0.500
2 Hg 0.000 0.000 0.000
3 Ho 0.250 0.250 0.250

Values from the calculation:
- E above lowest polymorph (eV per atom) = 0.000
- crystal system = cubic
- E (eV per atom) = -2.04
- magnetization (μB/f.u.) = 0.0

---

(7)
Computed, not measured: crystalline BaHgPbI2O2 at its relaxed geometry at the GGA-PBE level of DFT.

Cell lengths 6.579, 6.579, 8.684 Å; angles 120.73, 120.73, 37.82 degrees
Fractional coordinates of all 7 atoms:
1 Ba 0.189 0.189 0.761
2 Hg 0.003 0.003 0.010
3 I 0.576 0.576 0.355
4 I 0.425 0.425 0.651
5 O 0.189 0.189 0.070
6 O 0.817 0.817 0.948
7 Pb 0.802 0.802 0.205

Values from the calculation:
- crystal system = monoclinic
- E (eV per atom) = -3.96

---

(8)
Computed, not measured: crystalline Ba3InHg10 at its relaxed geometry at the GGA-PBE level of DFT.

Cell lengths 9.578, 9.578, 9.578 Å; angles 148.10, 115.77, 73.51 degrees
Fractional coordinates of all 14 atoms:
1 Ba 0.500 0.000 0.500
2 Ba 0.798 0.298 0.500
3 Ba 0.202 0.702 0.500
4 Hg 0.482 0.340 0.143
5 Hg 0.803 0.660 0.143
6 Hg 0.354 0.141 0.213
7 Hg 0.072 0.859 0.213
8 Hg 0.818 0.500 0.318
9 Hg 0.182 0.500 0.682
10 Hg 0.928 0.141 0.787
11 Hg 0.646 0.859 0.787
12 Hg 0.197 0.340 0.857
13 Hg 0.518 0.660 0.857
14 In 0.000 0.000 0.000

Values from the calculation:
- crystal system = orthorhombic
- E (eV per atom) = -1.21

---

(9)
Computed, not measured: crystalline BaInHg at its relaxed geometry at the GGA-PBE level of DFT.

Cell lengths 6.552, 6.552, 8.499 Å; angles 128.91, 128.91, 47.14 degrees
Fractional coordinates of all 6 atoms:
1 Ba 0.957 0.957 0.196
2 Ba 0.043 0.043 0.804
3 Hg 0.671 0.671 0.225
4 Hg 0.329 0.329 0.775
5 In 0.340 0.340 0.402
6 In 0.660 0.660 0.598

Values from the calculation:
- crystal system = monoclinic
- E (eV per atom) = -2.13

---

(10)
Computed, not measured: crystalline BaInHg at its relaxed geometry at the GGA-PBE level of DFT.

Cell lengths 9.310, 9.310, 4.085 Å; angles 90.00, 90.00, 120.00 degrees
Fractional coordinates of all 9 atoms:
1 Ba 0.291 0.000 0.000
2 Ba 0.000 0.291 0.000
3 Ba 0.709 0.709 0.000
4 Hg 0.667 0.333 0.000
5 Hg 0.333 0.667 0.000
6 Hg 0.000 0.000 0.500
7 In 0.618 0.000 0.500
8 In 0.382 0.382 0.500
9 In 0.000 0.618 0.500

Values from the calculation:
- crystal system = hexagonal
- E (eV per atom) = -1.94

---

(11)
Computed, not measured: crystalline BaInHg at its relaxed geometry at the GGA-PBE level of DFT.

Cell lengths 6.661, 6.661, 6.661 Å; angles 133.99, 97.16, 100.42 degrees
Fractional coordinates of all 6 atoms:
1 Ba 0.298 0.751 0.048
2 Ba 0.703 0.251 0.952
3 Hg 0.900 0.062 0.339
4 Hg 0.723 0.562 0.661
5 In 0.275 0.438 0.337
6 In 0.100 0.938 0.663

Values from the calculation:
- crystal system = orthorhombic
- E (eV per atom) = -2.12

---

(12)
Computed, not measured: crystalline BaInHg at its relaxed geometry at the GGA-PBE level of DFT.

Cell lengths 6.643, 6.643, 6.643 Å; angles 133.48, 101.00, 96.96 degrees
Fractional coordinates of all 6 atoms:
1 Ba 0.536 0.536 0.000
2 Ba 0.960 0.460 0.500
3 Hg 0.122 0.835 0.286
4 Hg 0.549 0.835 0.714
5 In 0.354 0.167 0.188
6 In 0.979 0.167 0.812

Values from the calculation:
- crystal system = orthorhombic
- E (eV per atom) = -2.15

---

(13)
Computed, not measured: crystalline BaIn2Hg at its relaxed geometry at the GGA-PBE level of DFT.

Cell lengths 5.530, 5.530, 5.530 Å; angles 60.00, 60.00, 60.00 degrees
Fractional coordinates of all 4 atoms:
1 Ba 0.750 0.750 0.750
2 Hg 0.500 0.500 0.500
3 In 0.000 0.000 0.000
4 In 0.250 0.250 0.250

Values from the calculation:
- crystal system = cubic
- E (eV per atom) = -2.26

---

(14)
Computed, not measured: crystalline Ba2In7Hg at its relaxed geometry at the GGA-PBE level of DFT.

Cell lengths 4.999, 4.999, 12.257 Å; angles 90.00, 90.00, 90.00 degrees
Fractional coordinates of all 10 atoms:
1 Ba 0.000 0.500 0.245
2 Ba 0.500 0.000 0.755
3 Hg 0.500 0.500 0.000
4 In 0.000 0.000 0.000
5 In 0.500 0.000 0.130
6 In 0.500 0.000 0.363
7 In 0.000 0.000 0.500
8 In 0.500 0.500 0.500
9 In 0.000 0.500 0.637
10 In 0.000 0.500 0.870

Values from the calculation:
- crystal system = tetragonal
- E (eV per atom) = -2.69

---

(15)
Computed, not measured: crystalline BaMgIn2Hg at its relaxed geometry at the GGA-PBE level of DFT.

Cell lengths 7.151, 7.151, 7.151 Å; angles 140.36, 140.36, 57.31 degrees
Fractional coordinates of all 5 atoms:
1 Ba 0.004 0.004 0.000
2 Hg 0.606 0.606 0.000
3 In 0.752 0.252 0.500
4 In 0.252 0.752 0.500
5 Mg 0.386 0.386 0.000

Values from the calculation:
- crystal system = tetragonal
- E (eV per atom) = -2.19

---

(16)
Computed, not measured: crystalline BaMg2InHg at its relaxed geometry at the GGA-PBE level of DFT.

Cell lengths 7.218, 7.218, 7.218 Å; angles 141.25, 141.25, 55.97 degrees
Fractional coordinates of all 5 atoms:
1 Ba 0.000 0.000 0.000
2 Hg 0.383 0.383 0.000
3 In 0.615 0.615 0.000
4 Mg 0.751 0.251 0.500
5 Mg 0.251 0.751 0.500

Values from the calculation:
- crystal system = tetragonal
- E (eV per atom) = -1.94

---

(17)
Computed, not measured: crystalline BaMgInHg2 at its relaxed geometry at the GGA-PBE level of DFT.

Cell lengths 7.253, 7.253, 7.253 Å; angles 141.90, 141.90, 54.97 degrees
Fractional coordinates of all 5 atoms:
1 Ba 0.000 0.000 0.000
2 Hg 0.385 0.385 0.000
3 Hg 0.615 0.615 0.000
4 In 0.250 0.750 0.500
5 Mg 0.750 0.250 0.500

Values from the calculation:
- crystal system = tetragonal
- E (eV per atom) = -1.75

---

(18)
Computed, not measured: crystalline BaIn2HgPt at its relaxed geometry at the GGA-PBE level of DFT.

Cell lengths 7.008, 7.008, 7.008 Å; angles 140.75, 140.75, 56.72 degrees
Fractional coordinates of all 5 atoms:
1 Ba 0.997 0.997 0.000
2 Hg 0.604 0.604 0.000
3 In 0.761 0.261 0.500
4 In 0.261 0.761 0.500
5 Pt 0.377 0.377 0.000

Values from the calculation:
- E above lowest polymorph (eV per atom) = 0.020
- crystal system = tetragonal
- E (eV per atom) = -3.27
- magnetization (μB/f.u.) = 0.0

---

(19)
Computed, not measured: crystalline BaIn2HgPt at its relaxed geometry at the GGA-PBE level of DFT.

Cell lengths 4.859, 4.859, 11.508 Å; angles 90.00, 90.00, 90.00 degrees
Fractional coordinates of all 10 atoms:
1 Ba 0.000 0.500 0.259
2 Ba 0.500 0.000 0.741
3 Hg 0.000 0.000 0.000
4 Hg 0.500 0.500 0.000
5 In 0.500 0.000 0.151
6 In 0.000 0.000 0.500
7 In 0.500 0.500 0.500
8 In 0.000 0.500 0.849
9 Pt 0.500 0.000 0.385
10 Pt 0.000 0.500 0.615

Values from the calculation:
- E above lowest polymorph (eV per atom) = 0.000
- crystal system = tetragonal
- E (eV per atom) = -3.29
- magnetization (μB/f.u.) = 0.0

---

(20)
Computed, not measured: crystalline BaInSnHg2 at its relaxed geometry at the GGA-PBE level of DFT.

Cell lengths 4.945, 4.945, 12.233 Å; angles 90.00, 90.00, 90.00 degrees
Fractional coordinates of all 10 atoms:
1 Ba 0.000 0.500 0.242
2 Ba 0.500 0.000 0.758
3 Hg 0.000 0.000 0.000
4 Hg 0.500 0.500 0.000
5 Hg 0.500 0.000 0.366
6 Hg 0.000 0.500 0.634
7 In 0.000 0.000 0.500
8 In 0.500 0.500 0.500
9 Sn 0.500 0.000 0.133
10 Sn 0.000 0.500 0.867

Values from the calculation:
- E above lowest polymorph (eV per atom) = 0.000
- crystal system = tetragonal
- E (eV per atom) = -2.24